# 1
DFT (PBE) results for a geometry-optimized CdFeSI2 structure.

Geometry as POSCAR:
```
CdFeSI2
1.0
-5.029 3.435 -0.469
-2.199 -2.929 2.131
1.403 2.772 5.259
I S Fe Cd
2 1 1 1
direct
0.000 0.000 0.500
0.500 0.000 0.000
0.000 0.000 0.000
0.000 0.500 0.000
0.500 0.500 0.500
```

Space group   P4/mmm
Total magnetization   0.608 μB per atom
Formation energy without anion corrections   386 meV per atom
Total energy   -2.935 eV per atom

---

# 2
DFT (PBE) results for a geometry-optimized Li4Sm2Br9 structure.

Geometry as POSCAR:
```
Li4Sm2Br9
1.0
-5.409 2.338 -3.967
-6.079 -3.668 -0.236
-6.632 10.028 14.955
Li Sm Br
8 4 18
direct
0.334 0.333 0.985
0.333 0.333 0.485
0.666 0.667 0.015
0.333 0.334 0.164
0.667 0.667 0.515
0.666 0.667 0.336
0.334 0.333 0.664
0.667 0.666 0.836
0.000 0.000 0.342
0.000 0.000 0.158
0.000 0.000 0.658
0.000 0.000 0.842
0.000 0.334 0.750
0.335 0.665 0.750
0.666 0.000 0.750
0.000 0.666 0.250
0.665 0.335 0.250
0.334 0.000 0.250
0.657 0.981 0.418
0.980 0.362 0.418
0.362 0.658 0.418
0.638 0.020 0.082
0.342 0.638 0.082
0.019 0.343 0.082
0.343 0.019 0.582
0.020 0.638 0.582
0.638 0.342 0.582
0.362 0.980 0.918
0.658 0.362 0.918
0.981 0.657 0.918
```

Space group   P-3c1
Total magnetization   0.067 μB per atom
Formation energy without anion corrections   -1609 meV per atom
Total energy   -3.753 eV per atom